1.
Here is a relaxed structure of CeMgScPt from Alexandria via LeMat-Bulk. Energies are from PBE.

Computed properties:
Space group   F-43m, No. 216
Formation energy   -0.460 eV per atom
Final energy   -21.74 eV for the cell shown

Lattice parameters (Å, degrees): 5.007 5.007 5.007 60.00 60.00 60.00
Site moments in Bohr magnetons follow the coordinates.
Fractional positions:
Pt1 0.750 0.750 0.750  0.00
Ce1 0.000 0.000 0.000  0.53
Sc1 0.500 0.500 0.500  0.05
Mg1 0.250 0.250 0.250  0.00

2.
Here is a relaxed structure of CeMg2SiPt2 from Alexandria via LeMat-Bulk. Energies are from PBE.

Computed properties:
Space group   I4/mmm, No. 139
E_form (uncorrected)   -477 meV per atom
Final energy   -29.49 eV for the cell shown

Lattice parameters (Å, degrees): 5.135 5.135 6.353 113.84 113.84 90.00
Site moments in Bohr magnetons follow the coordinates.
Fractional positions:
Mg1 0.750 0.250 0.500  0.00
Mg2 0.250 0.750 0.500  0.00
Si1 0.000 0.000 0.000  0.00
Pt1 0.219 0.219 0.438  -0.01
Pt2 0.781 0.781 0.562  -0.01
Ce1 0.500 0.500 0.000  0.86

3.
Here is a relaxed structure of CeMgSi2Pt2 from Alexandria via LeMat-Bulk. Energies are from PBE.

Computed properties:
Space group   P-3m1, No. 164
E_form (uncorrected)   -932 meV per atom
Final energy   -36.05 eV for the cell shown

Lattice parameters (Å, degrees): 4.257 4.257 6.933 90.00 90.00 120.00
Site moments in Bohr magnetons follow the coordinates.
Fractional positions:
Mg1 0.000 0.000 0.500  0.00
Si1 0.333 0.667 0.283  0.00
Si2 0.667 0.333 0.717  0.00
Ce1 0.000 0.000 0.000  0.28
Pt1 0.667 0.333 0.305  0.00
Pt2 0.333 0.667 0.695  0.00

4.
Here is a relaxed structure of CeMg2Si2Pt from Alexandria via LeMat-Bulk. Energies are from PBE.

Computed properties:
Space group   I4/mmm, No. 139
E_form (uncorrected)   -97 meV per atom
Final energy   -26.59 eV for the cell shown

Lattice parameters (Å, degrees): 5.109 5.109 6.472 113.25 113.25 90.00
Site moments in Bohr magnetons follow the coordinates.
Fractional positions:
Mg1 0.750 0.250 0.500  0.00
Mg2 0.250 0.750 0.500  0.00
Pt1 0.000 0.000 0.000  -0.02
Ce1 0.500 0.500 0.000  1.02
Si1 0.213 0.213 0.427  -0.01
Si2 0.787 0.787 0.573  -0.01

5.
Here is a relaxed structure of Ce2MgSi3Pt12 from Alexandria via LeMat-Bulk. Energies are from PBE.

Computed properties:
Space group   R-3m, No. 166
E_form (uncorrected)   -563 meV per atom
Final energy   -112.36 eV for the cell shown

Lattice parameters (Å, degrees): 7.541 7.541 7.541 66.75 66.75 66.75
Site moments in Bohr magnetons follow the coordinates.
Fractional positions:
Pt1 0.104 0.643 0.643  0.00
Pt2 0.142 0.142 0.619  0.00
Pt3 0.357 0.357 0.896  0.00
Pt4 0.619 0.142 0.142  0.00
Pt5 0.896 0.357 0.357  0.00
Pt6 0.643 0.643 0.104  0.00
Pt7 0.858 0.381 0.858  0.00
Pt8 0.643 0.104 0.643  0.00
Pt9 0.858 0.858 0.381  0.00
Pt10 0.142 0.619 0.142  0.00
Pt11 0.357 0.896 0.357  0.00
Pt12 0.381 0.858 0.858  0.00
Si1 0.000 0.000 0.500  0.00
Si2 0.500 0.000 0.000  0.00
Si3 0.000 0.500 0.000  0.00
Ce1 0.389 0.389 0.389  -0.12
Ce2 0.611 0.611 0.611  -0.12
Mg1 0.000 0.000 0.000  0.00

6.
Here is a relaxed structure of CeMgSi2Pt5 from Alexandria via LeMat-Bulk. Energies are from PBE.

Computed properties:
Space group   P4/mmm, No. 123
E_form (uncorrected)   -768 meV per atom
Final energy   -55.49 eV for the cell shown

Lattice parameters (Å, degrees): 4.082 4.082 10.672 90.00 90.00 90.00
Site moments in Bohr magnetons follow the coordinates.
Fractional positions:
Pt1 0.500 0.000 0.169  0.01
Pt2 0.000 0.500 0.169  0.01
Pt3 0.500 0.000 0.831  0.01
Pt4 0.000 0.500 0.831  0.01
Pt5 0.500 0.500 0.500  0.00
Si1 0.500 0.500 0.721  0.00
Si2 0.500 0.500 0.279  0.00
Mg1 0.000 0.000 0.000  0.00
Ce1 0.000 0.000 0.500  0.90

7.
Here is a relaxed structure of Ce2MgSn3Pt4 from Alexandria via LeMat-Bulk. Energies are from PBE.

Computed properties:
Space group   P-4m2, No. 115
Formation energy   -0.806 eV per atom
Final energy   -57.70 eV for the cell shown

Lattice parameters (Å, degrees): 4.554 4.554 10.789 90.00 90.00 90.00
Site moments in Bohr magnetons follow the coordinates.
Fractional positions:
Pt1 0.500 0.500 0.000  -0.01
Pt2 0.500 0.000 0.631  -0.01
Pt3 0.000 0.500 0.369  -0.01
Pt4 0.000 0.000 0.000  0.00
Ce1 0.000 0.500 0.759  0.86
Ce2 0.500 0.000 0.241  0.86
Sn1 0.500 0.000 0.871  0.00
Sn2 0.000 0.000 0.500  -0.01
Sn3 0.000 0.500 0.129  0.00
Mg1 0.500 0.500 0.500  0.01

8.
Here is a relaxed structure of CeMgSnPt from Alexandria via LeMat-Bulk. Energies are from PBE.

Computed properties:
Space group   F-43m, No. 216
Formation energy   -0.631 eV per atom
Final energy   -20.10 eV for the cell shown

Lattice parameters (Å, degrees): 5.024 5.024 5.024 60.00 60.00 60.00
Site moments in Bohr magnetons follow the coordinates.
Fractional positions:
Pt1 0.000 0.000 0.000  -0.01
Mg1 0.750 0.750 0.750  0.00
Ce1 0.250 0.250 0.250  0.38
Sn1 0.500 0.500 0.500  0.01

9.
Here is a relaxed structure of TbCeMgPt from Alexandria via LeMat-Bulk. Energies are from PBE.

Computed properties:
Space group   F-43m, No. 216
Formation energy   -0.461 eV per atom
Final energy   -20.04 eV for the cell shown

Lattice parameters (Å, degrees): 5.153 5.153 5.153 60.00 60.00 60.00
Site moments in Bohr magnetons follow the coordinates.
Fractional positions:
Pt1 0.750 0.750 0.750  -0.01
Mg1 0.250 0.250 0.250  0.00
Ce1 0.500 0.500 0.500  0.62
Tb1 0.000 0.000 0.000  0.04

10.
Here is a relaxed structure of CeMgTlPt from Alexandria via LeMat-Bulk. Energies are from PBE.

Computed properties:
Space group   F-43m, No. 216
Formation energy   -0.509 eV per atom
Final energy   -17.97 eV for the cell shown

Lattice parameters (Å, degrees): 5.044 5.044 5.044 60.00 60.00 60.00
Site moments in Bohr magnetons follow the coordinates.
Fractional positions:
Ce1 0.500 0.500 0.500  0.50
Mg1 0.000 0.000 0.000  0.00
Pt1 0.750 0.750 0.750  0.00
Tl1 0.250 0.250 0.250  0.01

11.
Here is a relaxed structure of CeYMgPt from Alexandria via LeMat-Bulk. Energies are from PBE.

Computed properties:
Space group   F-43m, No. 216
Formation energy   -0.469 eV per atom
Final energy   -21.91 eV for the cell shown

Lattice parameters (Å, degrees): 5.150 5.150 5.150 60.00 60.00 60.00
Site moments in Bohr magnetons follow the coordinates.
Fractional positions:
Y1 0.500 0.500 0.500  0.03
Mg1 0.250 0.250 0.250  0.00
Ce1 0.000 0.000 0.000  0.63
Pt1 0.750 0.750 0.750  -0.01

12.
Here is a relaxed structure of CeMgZn5Pt2 from Alexandria via LeMat-Bulk. Energies are from PBE.

Computed properties:
Space group   P4/mmm, No. 123
Formation energy   -0.237 eV per atom
Final energy   -28.11 eV for the cell shown

Lattice parameters (Å, degrees): 4.830 4.830 7.611 90.00 90.00 90.00
Site moments in Bohr magnetons follow the coordinates.
Fractional positions:
Zn1 0.500 0.000 0.232  0.00
Zn2 0.000 0.500 0.768  0.00
Zn3 0.000 0.500 0.232  0.00
Zn4 0.500 0.500 0.500  0.00
Zn5 0.500 0.000 0.768  0.00
Pt1 0.500 0.500 0.824  0.01
Pt2 0.500 0.500 0.176  0.01
Mg1 0.000 0.000 0.000  0.00
Ce1 0.000 0.000 0.500  0.97

final energy of number 3 (CeMgSi2Pt2)? -36.05 eV for the cell shown

Which of these has the lowest final energy? Ce2MgSi3Pt12

Copy entry 12 word for word.
Here is a relaxed structure of CeMgZn5Pt2 from Alexandria via LeMat-Bulk. Energies are from PBE.

Computed properties:
Space group   P4/mmm, No. 123
Formation energy   -0.237 eV per atom
Final energy   -28.11 eV for the cell shown

Lattice parameters (Å, degrees): 4.830 4.830 7.611 90.00 90.00 90.00
Site moments in Bohr magnetons follow the coordinates.
Fractional positions:
Zn1 0.500 0.000 0.232  0.00
Zn2 0.000 0.500 0.768  0.00
Zn3 0.000 0.500 0.232  0.00
Zn4 0.500 0.500 0.500  0.00
Zn5 0.500 0.000 0.768  0.00
Pt1 0.500 0.500 0.824  0.01
Pt2 0.500 0.500 0.176  0.01
Mg1 0.000 0.000 0.000  0.00
Ce1 0.000 0.000 0.500  0.97